An optimized crystal structure of CsP2PdS8, computed with GGA-PBE.

Output
Formation energy (no corrections) = -236.7 meV per atom
Uncorrected energy = -4.3938 eV per atom
Fermi-level density of states = 0.970 states/eV per atom

abc: 5.8309 5.8309 10.4900
angles: 90.00 90.00 120.00
Sites, in units of the cell vectors:
Pd1 0.0000 0.0000 0.5000
S1 0.6766 0.6634 0.6416
S2 0.0132 0.6766 0.3584
P1 0.3333 0.6667 0.6959
S3 0.3234 0.3366 0.3584
Cs1 0.0000 0.0000 0.0000
P2 0.6667 0.3333 0.3041
S4 0.6667 0.3333 0.1137
S5 0.3333 0.6667 0.8863
S6 0.9868 0.3234 0.6416
S7 0.3366 0.0132 0.6416
S8 0.6634 0.9868 0.3584